VASP calculation (meta-GGA SCAN) on MnTl4Br at its PBEsol-relaxed geometry.

a b c (Å): 8.804 8.804 8.804
angles (deg): 90.00 90.00 90.00
Space group F-43m (No. 216)
One atom of each set of equivalent atoms:
Mn1 0.000 0.000 0.000 [4 per cell]
Tl1 0.125 0.125 0.375 [16 per cell]
Br1 0.250 0.250 0.750 [4 per cell]

Values from the calculation:
calculated volume: 28.4 A^3/atom
energy relative to the elements, uncorrected: 0.180 eV per atom